# 1
A plane-wave DFT calculation with PBE-GGA was carried out for an optimized crystal structure of EuHBr.

a b c (Å): 4.808 4.808 4.808
angles (deg): 60.00 60.00 60.00
Last column: magnetic moment on the atom in μB.
Element x y z (fractional)
Eu: 0.250 0.250 0.250  6.88
H: 0.500 0.500 0.500  -0.01
Br: 0.000 0.000 0.000  -0.03

- spin magnetization (μB/f.u.) = 7.00
- energy (eV per atom) = -6.16
- symmetry = F-43m

---

# 2
A plane-wave DFT calculation with PBE-GGA was carried out for an optimized crystal structure of Zr2CoTc.

a b c (Å): 8.748 8.748 8.748
angles (deg): 20.58 20.58 20.58
Last column: magnetic moment on the atom in μB.
Element x y z (fractional)
Co: 0.493 0.493 0.493  1.25
Tc: 0.757 0.757 0.757  0.27
Zr: 0.010 0.010 0.010  -0.05
Zr: 0.240 0.240 0.240  -0.12

- spin magnetization (μB/f.u.) = 1.26
- energy (eV per atom) = -8.34
- ΔH_f (0 K) (kcal/mol of atoms) = 6.904
- symmetry = R3m